Below is CoHN2O after structural relaxation, with properties calculated at the PBE with a Hubbard U level.

Geometry as POSCAR:
```
CoHN2O
1.0
-2.333 -1.451 0.433
1.491 -2.063 1.120
-0.548 2.441 5.228
H Co O N
1 1 1 2
direct
0.000 0.000 0.000
0.500 0.500 0.500
0.000 0.000 0.500
0.000 0.500 0.000
0.500 0.000 0.000
```

V, Å³ per atom: 8.96
DFT total energy, eV for the cell shown: -23.7
DOS at the Fermi energy, states/eV per cell: 1.18